Entry 1:
A plane-wave DFT calculation with GGA-PBE was carried out for an optimized crystal structure of CdIn.

As for the crystal system: hexagonal. The total energy is -1.79 eV per atom. The calculated volume is 25.6 Å³ per atom. As for the size of the total moment: 0.000 μB/cell.

It has space group P-6m2 (No. 187), with a = 3.3912 Å, b = 3.3912 Å, c = 5.1330 Å, α = 90.00°, β = 90.00° and γ = 120.00°. The asymmetric unit holds Cd at (0.0000, 0.0000, 0.0000) and In at (0.6667, 0.3333, 0.5000).

Entry 2:
A plane-wave DFT calculation with GGA-PBE was carried out for an optimized crystal structure of AlFeSe2.

As for the crystal system: tetragonal. The total energy is -4.97 eV per atom. The uncorrected formation energy comes out at -0.18 eV/atom. The calculated volume is 20.8 Å³ per atom. As for the size of the total moment: 0.000 μB/cell.

It has space group I-42d (No. 122), with a = 5.4885 Å, b = 5.4885 Å, c = 11.0433 Å, α = 90.00°, β = 90.00° and γ = 90.00°. The asymmetric unit holds Al at (0.0000, 0.0000, 0.0000), Fe at (0.0000, 0.0000, 0.5000) and Se at (0.2273, 0.2500, 0.6250).

Entry 3:
A plane-wave DFT calculation with GGA-PBE was carried out for an optimized crystal structure of NaLi5Pd4.

As for the crystal system: tetragonal. The total energy is -3.50 eV per atom. The calculated volume is 15.4 Å³ per atom. As for the size of the total moment: 0.000 μB/cell.

It has space group P4/mmm (No. 123), with a = 3.0534 Å, b = 3.0534 Å, c = 16.5599 Å, α = 90.00°, β = 90.00° and γ = 90.00°. The asymmetric unit holds Na at (0.0000, 0.0000, 0.0000), Li at (0.5000, 0.5000, 0.1507), Li at (0.5000, 0.5000, 0.3250), Li at (0.5000, 0.5000, 0.5000), Pd at (0.0000, 0.0000, 0.2345) and Pd at (0.0000, 0.0000, 0.4125).

Entry 4:
A plane-wave DFT calculation with GGA-PBE was carried out for an optimized crystal structure of NbCoNi3.

As for the crystal system: cubic. The total energy is -5.99 eV per atom. The calculated volume is 15.0 Å³ per atom. The energy above the most stable polymorph in this dataset comes out at 3.65 eV per formula unit. As for the size of the total moment: 5.483 μB/cell.

It has space group Pm-3m (No. 221), with a = 4.2172 Å, b = 4.2172 Å, c = 4.2172 Å, α = 90.00°, β = 90.00° and γ = 90.00°. The asymmetric unit holds Nb at (0.0000, 0.0000, 0.0000), Co at (0.5000, 0.5000, 0.5000) and Ni at (0.0000, 0.5000, 0.5000).

Entry 5:
A plane-wave DFT calculation with GGA-PBE was carried out for an optimized crystal structure of ZrCo2ReS.

As for the crystal system: tetragonal. The total energy is -6.73 eV per atom. The uncorrected formation energy comes out at 1.14 eV/atom. The calculated volume is 20.1 Å³ per atom. As for the size of the total moment: 1.761 μB/cell.

It has space group P4/mmm (No. 123), with a = 4.3828 Å, b = 4.3828 Å, c = 5.2328 Å, α = 90.00°, β = 90.00° and γ = 90.00°. The asymmetric unit holds Zr at (0.0000, 0.0000, 0.0000), Co at (0.0000, 0.5000, 0.5000), Re at (0.0000, 0.0000, 0.5000) and S at (0.5000, 0.5000, 0.0000).

Entry 6:
A plane-wave DFT calculation with GGA-PBE was carried out for an optimized crystal structure of ZrTiRh.

As for the crystal system: tetragonal. The total energy is -8.11 eV per atom. The calculated volume is 20.4 Å³ per atom. The energy above the most stable polymorph in this dataset comes out at 1.36 eV per formula unit. As for the size of the total moment: 0.002 μB/cell.

It has space group P4_2/mmc (No. 131), with a = 4.4914 Å, b = 4.4914 Å, c = 6.0540 Å, α = 90.00°, β = 90.00° and γ = 90.00°. The asymmetric unit holds Zr at (0.0000, 0.5000, 0.0000), Ti at (0.0000, 0.5000, 0.5000) and Rh at (0.0000, 0.0000, 0.2500).

Entry 7:
A plane-wave DFT calculation with GGA-PBE was carried out for an optimized crystal structure of Sc2ZnCd.

As for the crystal system: monoclinic. The total energy is -3.85 eV per atom. The calculated volume is 22.0 Å³ per atom. As for the size of the total moment: 0.000 μB/cell.

It has space group C2/m (No. 12), with a = 9.3640 Å, b = 3.2905 Å, c = 5.8201 Å, α = 90.00°, β = 101.65° and γ = 90.00°. The asymmetric unit holds Sc at (0.2447, 0.0000, 0.2366), Zn at (0.0000, 0.5000, 0.0000) and Cd at (0.0000, 0.0000, 0.5000).

Entry 8:
A plane-wave DFT calculation with GGA-PBE was carried out for an optimized crystal structure of PuMn2Os.

As for the crystal system: trigonal. The total energy is -10.73 eV per atom. The calculated volume is 14.9 Å³ per atom. The energy above the most stable polymorph in this dataset comes out at 0.64 eV per formula unit. As for the size of the total moment: 2.975 μB/cell.

It has space group R-3m (No. 166, hexagonal axes), with a = 4.4766 Å, b = 4.4766 Å, c = 10.3222 Å, α = 90.00°, β = 90.00° and γ = 120.00°. The asymmetric unit holds Pu at (0.0000, 0.0000, 0.0000), Mn at (0.0000, 0.0000, 0.2179) and Os at (0.0000, 0.0000, 0.5000).

Entry 9:
A plane-wave DFT calculation with GGA-PBE was carried out for an optimized crystal structure of Cu2RePt.

As for the crystal system: tetragonal. The total energy is -6.65 eV per atom. The calculated volume is 13.7 Å³ per atom. The energy above the most stable polymorph in this dataset comes out at 0.00 eV per formula unit. As for the size of the total moment: 0.000 μB/cell.

It has space group P4mm (No. 99), with a = 2.7330 Å, b = 2.7330 Å, c = 7.3118 Å, α = 90.00°, β = 90.00° and γ = 90.00°. The asymmetric unit holds Cu at (0.0000, 0.0000, 0.0000), Cu at (0.5000, 0.5000, 0.2238), Re at (0.5000, 0.5000, 0.7478) and Pt at (0.0000, 0.0000, 0.4844).

Entry 10:
A plane-wave DFT calculation with GGA-PBE was carried out for an optimized crystal structure of Mn4CuTc.

As for the crystal system: cubic. The total energy is -8.38 eV per atom. The calculated volume is 11.9 Å³ per atom. As for the size of the total moment: 13.388 μB/cell.

It has space group F-43m (No. 216), with a = 6.5882 Å, b = 6.5882 Å, c = 6.5882 Å, α = 90.00°, β = 90.00° and γ = 90.00°. The asymmetric unit holds Mn at (0.1238, 0.1238, 0.3762), Cu at (0.2500, 0.2500, 0.7500) and Tc at (0.0000, 0.0000, 0.0000).

Entry 11:
A plane-wave DFT calculation with GGA-PBE was carried out for an optimized crystal structure of BeSbAs.

As for the crystal system: cubic. The total energy is -3.83 eV per atom. The uncorrected formation energy comes out at 0.34 eV/atom. The calculated volume is 20.2 Å³ per atom. The energy above the most stable polymorph in this dataset comes out at 0.77 eV per formula unit. As for the size of the total moment: 0.000 μB/cell.

It has space group F-43m (No. 216), with a = 6.2398 Å, b = 6.2398 Å, c = 6.2398 Å, α = 90.00°, β = 90.00° and γ = 90.00°. The asymmetric unit holds Be at (0.0000, 0.0000, 0.0000), Sb at (0.2500, 0.2500, 0.2500) and As at (0.2500, 0.2500, 0.7500).

Entry 12:
A plane-wave DFT calculation with GGA-PBE was carried out for an optimized crystal structure of FeSb2AuI.

As for the crystal system: tetragonal. The total energy is -3.21 eV per atom. The uncorrected formation energy comes out at 1.09 eV/atom. The calculated volume is 32.7 Å³ per atom. The energy above the most stable polymorph in this dataset comes out at 2.86 eV per formula unit. As for the size of the total moment: 3.020 μB/cell.

It has space group P4/mmm (No. 123), with a = 5.4064 Å, b = 5.4064 Å, c = 5.5915 Å, α = 90.00°, β = 90.00° and γ = 90.00°. The asymmetric unit holds Fe at (0.0000, 0.0000, 0.0000), Sb at (0.0000, 0.5000, 0.5000), Au at (0.5000, 0.5000, 0.5000) and I at (0.5000, 0.5000, 0.0000).

Question: Among the records above, which one has the lowest calculated volume?
Answer: Mn4CuTc

What did the seventh record say?
A plane-wave DFT calculation with GGA-PBE was carried out for an optimized crystal structure of Sc2ZnCd.

As for the crystal system: monoclinic. The total energy is -3.85 eV per atom. The calculated volume is 22.0 Å³ per atom. As for the size of the total moment: 0.000 μB/cell.

It has space group C2/m (No. 12), with a = 9.3640 Å, b = 3.2905 Å, c = 5.8201 Å, α = 90.00°, β = 101.65° and γ = 90.00°. The asymmetric unit holds Sc at (0.2447, 0.0000, 0.2366), Zn at (0.0000, 0.5000, 0.0000) and Cd at (0.0000, 0.0000, 0.5000).

Question: What is the calculated volume in the eleventh record?
Answer: 20.2 Å³ per atom